(1)
This record from Alexandria via LeMat-Bulk describes a PBEsol-optimized structure of SiCl. The functional is meta-GGA SCAN.

Calculated values
Fermi-level density of states ... 0.4 states/eV/f.u.
ΔE_f (raw) ... -0.032 eV/atom
Raw total energy ... -0.3318 Ha/atom

```
4
Lattice="1.973 -5.137 0.000 1.973 5.137 0.000 0.000 0.000 4.904" Properties=species:S:1:pos:R:3 pbc="T T T"
Si 1.973 5.064 3.678
Si 1.973 -5.064 1.226
Cl 1.973 1.236 3.678
Cl 1.973 -1.236 1.226
```

(2)
This record from Alexandria via LeMat-Bulk describes a PBEsol-optimized structure of Li2TaOs. The functional is meta-GGA SCAN.

Calculated values
Formation enthalpy at 0 K ... 467 meV/atom
Fermi-level density of states ... 2.0 states/eV/f.u.
Raw total energy ... -1.2988 Ha/atom

```
4
Lattice="3.240 0.000 0.000 0.000 3.240 0.000 0.000 0.000 5.081" Properties=species:S:1:pos:R:3 pbc="T T T"
Li 0.000 0.000 1.108
Li 0.000 0.000 3.972
Ta 1.620 1.620 2.540
Os 1.620 1.620 0.000
```

(3)
This record from Alexandria via LeMat-Bulk describes a PBEsol-optimized structure of CaGa2Hg2. The functional is meta-GGA SCAN.

Calculated values
Formation enthalpy at 0 K ... -380 meV/atom
Fermi-level density of states ... 1.5 states/eV/f.u.
Raw total energy ... -1.3273 Ha/atom

```
5
Lattice="-2.089 2.089 6.271 2.089 -2.089 6.271 2.089 2.089 -6.271" Properties=species:S:1:pos:R:3 pbc="T T T"
Ca 0.000 0.000 0.000
Ga 2.089 0.000 3.136
Ga 0.000 2.089 3.136
Hg 0.000 0.000 4.893
Hg 0.000 0.000 7.650
```

(4)
This record from Alexandria via LeMat-Bulk describes a PBEsol-optimized structure of AsPt2Au. The functional is meta-GGA SCAN.

Calculated values
Formation enthalpy at 0 K ... 76 meV/atom
Fermi-level density of states ... 1.5 states/eV/f.u.
Raw total energy ... -2.1079 Ha/atom

```
4
Lattice="-2.029 2.029 3.876 2.029 -2.029 3.876 2.029 2.029 -3.876" Properties=species:S:1:pos:R:3 pbc="T T T"
As 0.000 0.000 0.000
Pt 2.029 0.000 1.938
Pt 0.000 2.029 1.938
Au 0.000 0.000 3.876
```

(5)
This record from Alexandria via LeMat-Bulk describes a PBEsol-optimized structure of RbBaNi2. The functional is meta-GGA SCAN.

Calculated values
Formation enthalpy at 0 K ... 781 meV/atom
Fermi-level density of states ... 2.9 states/eV/f.u.
Raw total energy ... -0.8224 Ha/atom

```
4
Lattice="0.000 3.751 3.751 3.751 0.000 3.751 3.751 3.751 0.000" Properties=species:S:1:pos:R:3 pbc="T T T"
Rb 0.000 0.000 0.000
Ba 3.751 3.751 3.751
Ni 1.876 1.876 1.876
Ni 5.627 5.627 5.627
```

(6)
This record from Alexandria via LeMat-Bulk describes a PBEsol-optimized structure of CoSbP2O8. The functional is meta-GGA SCAN.

Calculated values
Fermi-level density of states ... 0.1 states/eV/f.u.
ΔE_f (raw) ... -1.930 eV/atom
Raw total energy ... -0.4544 Ha/atom

```
24
Lattice="4.821 0.000 0.000 0.000 6.532 0.000 -2.067 0.000 9.596" Properties=species:S:1:pos:R:3 pbc="T T T"
Co 0.058 1.633 2.125
Co 2.697 4.899 7.472
Sb 0.094 1.633 6.528
Sb 2.661 4.899 3.068
P 0.391 4.899 1.092
P 0.015 4.899 5.771
P 2.739 1.633 3.825
P 2.363 1.633 8.505
O -1.507 4.899 9.142
O -0.701 3.723 6.519
O -0.701 6.074 6.519
O -0.212 4.899 4.271
O -0.927 1.633 8.257
O 1.082 3.658 1.697
O 1.082 6.140 1.697
O 1.215 1.633 3.591
O 1.539 4.899 6.005
O 1.672 0.392 7.899
O 1.672 2.874 7.899
O 3.681 4.899 1.340
O 2.966 1.633 5.325
O 3.456 0.457 3.077
O 3.456 2.809 3.077
O 4.262 1.633 0.455
```

(7)
This record from Alexandria via LeMat-Bulk describes a PBEsol-optimized structure of Ca2InW. The functional is meta-GGA SCAN.

Calculated values
Formation enthalpy at 0 K ... 663 meV/atom
Fermi-level density of states ... 5.0 states/eV/f.u.
Raw total energy ... -1.1002 Ha/atom

```
4
Lattice="-2.279 2.279 4.382 2.279 -2.279 4.382 2.279 2.279 -4.382" Properties=species:S:1:pos:R:3 pbc="T T T"
Ca 0.000 0.000 0.000
Ca 0.000 2.279 2.191
In 0.000 0.000 4.382
W 2.279 0.000 2.191
```

(8)
This record from Alexandria via LeMat-Bulk describes a PBEsol-optimized structure of Sr3CaHf4O12. The functional is meta-GGA SCAN.

Calculated values
Fermi-level density of states ... 0.0 states/eV/f.u.
ΔE_f (raw) ... -3.702 eV/atom
Raw total energy ... -0.8746 Ha/atom

```
20
Lattice="5.684 0.000 0.000 0.000 8.073 0.000 -0.020 0.000 5.750" Properties=species:S:1:pos:R:3 pbc="T T T"
Sr 0.000 0.000 0.000
Sr 0.064 4.037 5.377
Sr 2.821 4.037 2.545
Ca 2.906 0.000 2.944
Hf 0.022 1.998 2.698
Hf 0.022 6.076 2.698
Hf 2.851 2.005 5.588
Hf 2.851 6.068 5.588
O 0.554 0.000 2.630
O 1.216 2.295 1.039
O 1.216 5.778 1.039
O 1.626 2.351 3.950
O 1.626 5.723 3.950
O 2.444 0.000 5.349
O 3.270 4.037 5.720
O 4.037 1.604 1.515
O 4.037 6.469 1.515
O 4.474 1.720 4.339
O 4.474 6.353 4.339
O 5.304 4.037 2.742
```